Density functional theory data (PBE+U) for crystalline MoPbO2 at its relaxed geometry.

Unit cell a=5.5097 b=5.5097 c=6.3714 alpha=64.38 beta=64.38 gamma=90.00
Last column: nearest neighbours and their distance in Å.
Sites, in units of the cell vectors:
1 O 0.2377 0.6250 0.2500  2 Mo 2.01
2 Mo 0.2500 0.7500 0.5000  4 O 2.01
3 Mo 0.5000 0.5000 0.0000  4 O 2.01
4 O 0.3750 0.4877 0.7500  2 Mo 2.01
5 O 0.8750 0.7623 0.7500  2 Mo 2.01
6 Pb 0.7500 0.2500 0.5000  4 O 2.73
7 O 0.5123 0.1250 0.2500  2 Mo 2.01
8 Pb 0.0000 0.0000 0.0000  4 O 2.73

The value obtained for the total magnetization is 4.94 μB per cell. Its symmetry is I-42d. For the mass density, the calculation gives 7.27 g/cm3. The value obtained for the uncorrected energy is -47.23 eV/cell.